No. 1
Entry from Alexandria: a relaxed BeGaSe crystal (PBE).

Cell lengths 3.5806, 3.5806, 11.5113 Å; angles 80.09, 80.09, 60.08 degrees
Positions (direct):
Ga 0.0188 0.0188 0.2358
Ga 0.7475 0.7475 0.0717
Se 0.4891 0.4891 0.8269
Se 0.2575 0.2575 0.4804
Be 0.1350 0.1350 0.8823
Be 0.6116 0.6116 0.4249

Values from the calculation:
total magnetic moment	0.000	μB per formula unit
ΔE_f (raw)	-5.41	kcal/mol of atoms
VASP energy	-3.647	eV/atom
space-group type	Cm

=====

No. 2
Entry from Alexandria: a relaxed BeGaSe crystal (PBE).

Cell lengths 11.3761, 3.5447, 5.9275 Å; angles 90.00, 90.00, 90.00 degrees
Positions (direct):
Be 0.1796 0.0000 0.5269
Be 0.6796 0.5000 0.0269
Be 0.3204 0.5000 0.0269
Be 0.8204 0.0000 0.5269
Ga 0.5000 0.0000 0.4949
Ga 0.0000 0.5000 0.9949
Ga 0.5000 0.5000 0.8267
Ga 0.0000 0.0000 0.3267
Se 0.8120 0.5000 0.7458
Se 0.1880 0.5000 0.7458
Se 0.6880 0.0000 0.2458
Se 0.3120 0.0000 0.2458

Values from the calculation:
total magnetic moment	0.000	μB per formula unit
ΔE_f (raw)	-5.38	kcal/mol of atoms
VASP energy	-3.646	eV/atom
space-group type	Imm2

=====

No. 3
Entry from Alexandria: a relaxed BeGaSe crystal (PBE).

Cell lengths 3.5395, 5.7549, 6.9443 Å; angles 87.30, 75.29, 72.19 degrees
Positions (direct):
Ga 0.3608 0.9152 0.8584
Ga 0.6392 0.0848 0.1416
Se 0.7622 0.6604 0.3170
Se 0.2378 0.3396 0.6830
Be 0.3564 0.4299 0.3577
Be 0.6436 0.5701 0.6423

Values from the calculation:
total magnetic moment	0.000	μB per formula unit
ΔE_f (raw)	-5.22	kcal/mol of atoms
VASP energy	-3.639	eV/atom
space-group type	P-1